(1)
Crystalline Ba2SrCl at its relaxed geometry, computed with GGA-PBE.

The energy above the most stable polymorph in this dataset is 4.0 kJ per mole of atoms. As for the magnetization: 0.000 μB/atom. As for the space group: Cmm2, No. 35. For the volume, the calculation gives 48.37 A^3/atom. The density of states at the Fermi level is 3.24 states/eV/cell. The uncorrected formation energy comes out at -0.8073 eV per atom.

a b c (Å): 4.280 4.280 11.975
angles (deg): 90.00 90.00 118.13
Fractional positions:
Ba1 0.000 0.000 0.000
Ba2 0.500 0.500 0.309
Sr1 0.500 0.500 0.703
Cl1 0.000 0.000 0.521

(2)
Crystalline Ba2SrCl at its relaxed geometry, computed with GGA-PBE.

The energy above the most stable polymorph in this dataset is 39.4 kJ per mole of atoms. As for the magnetization: 0.000 μB/atom. As for the space group: Pmmm, No. 47. For the volume, the calculation gives 52.14 A^3/atom. The density of states at the Fermi level is 3.69 states/eV/cell. The uncorrected formation energy comes out at -0.4400 eV per atom.

a b c (Å): 4.472 6.271 7.436
angles (deg): 90.00 90.00 90.00
Fractional positions:
Ba1 0.000 0.000 0.000
Ba2 0.500 0.000 0.500
Sr1 0.000 0.500 0.500
Cl1 0.500 0.500 0.000

(3)
Crystalline BaSrCl2 at its relaxed geometry, computed with GGA-PBE.

The energy above the most stable polymorph in this dataset is 0.9 kJ per mole of atoms. As for the magnetization: 0.000 μB/atom. As for the space group: Pmm2, No. 25. For the volume, the calculation gives 44.17 A^3/atom. The density of states at the Fermi level is 1.54 states/eV/cell. The uncorrected formation energy comes out at -1.7577 eV per atom.

a b c (Å): 5.010 5.021 7.025
angles (deg): 90.00 90.00 90.00
Fractional positions:
Ba1 0.000 0.000 0.000
Sr1 0.500 0.500 0.496
Cl1 0.000 0.500 0.727
Cl2 0.500 0.000 0.726

(4)
Crystalline BaSrCl2 at its relaxed geometry, computed with GGA-PBE.

The energy above the most stable polymorph in this dataset is 85.4 kJ per mole of atoms. As for the magnetization: 0.000 μB/atom. As for the space group: F-43m, No. 216. For the volume, the calculation gives 38.55 A^3/atom. The density of states at the Fermi level is 0.86 states/eV/cell. The uncorrected formation energy comes out at -0.8821 eV per atom.

a b c (Å): 6.019 6.019 6.019
angles (deg): 60.00 60.00 60.00
Fractional positions:
Ba1 0.000 0.000 0.000
Sr1 0.750 0.750 0.750
Cl1 0.250 0.250 0.250
Cl2 0.500 0.500 0.500

(5)
Crystalline Ba2SrCl at its relaxed geometry, computed with GGA-PBE.

The energy above the most stable polymorph in this dataset is 11.0 kJ per mole of atoms. As for the magnetization: 0.000 μB/atom. As for the space group: Immm, No. 71. For the volume, the calculation gives 53.50 A^3/atom. The density of states at the Fermi level is 3.99 states/eV/cell. The uncorrected formation energy comes out at -0.7352 eV per atom.

a b c (Å): 7.800 7.800 7.800
angles (deg): 147.96 120.49 69.20
Fractional positions:
Ba1 0.187 0.187 0.000
Ba2 0.813 0.813 0.000
Sr1 0.500 0.000 0.500
Cl1 0.000 0.500 0.500

(6)
Crystalline BaSr2Cl at its relaxed geometry, computed with GGA-PBE.

The energy above the most stable polymorph in this dataset is 13.6 kJ per mole of atoms. As for the magnetization: 0.216 μB/atom. As for the space group: I-42d, No. 122. For the volume, the calculation gives 48.52 A^3/atom. The density of states at the Fermi level is 6.44 states/eV/cell. The uncorrected formation energy comes out at -0.6857 eV per atom.

a b c (Å): 8.084 8.084 8.084
angles (deg): 102.97 102.97 123.45
Fractional positions:
Ba1 0.000 0.000 0.000
Ba2 0.750 0.250 0.500
Sr1 0.227 0.625 0.102
Sr2 0.375 0.477 0.602
Sr3 0.523 0.125 0.898
Sr4 0.875 0.773 0.398
Cl1 0.250 0.750 0.500
Cl2 0.500 0.500 0.000

(7)
Crystalline BaSr2Cl at its relaxed geometry, computed with GGA-PBE.

The energy above the most stable polymorph in this dataset is 2.7 kJ per mole of atoms. As for the magnetization: 0.000 μB/atom. As for the space group: Cmmm, No. 65. For the volume, the calculation gives 45.67 A^3/atom. The density of states at the Fermi level is 2.92 states/eV/cell. The uncorrected formation energy comes out at -0.7993 eV per atom.

a b c (Å): 4.209 4.209 11.735
angles (deg): 90.00 90.00 118.51
Fractional positions:
Ba1 0.000 0.000 0.000
Sr1 0.500 0.500 0.303
Sr2 0.500 0.500 0.697
Cl1 0.000 0.000 0.500

(8)
Crystalline BaSr2Cl at its relaxed geometry, computed with GGA-PBE.

The energy above the most stable polymorph in this dataset is 51.6 kJ per mole of atoms. As for the magnetization: 0.000 μB/atom. As for the space group: F-43m, No. 216. For the volume, the calculation gives 51.53 A^3/atom. The density of states at the Fermi level is 5.18 states/eV/cell. The uncorrected formation energy comes out at -0.2918 eV per atom.

a b c (Å): 6.631 6.631 6.631
angles (deg): 60.00 60.00 60.00
Fractional positions:
Ba1 0.000 0.000 0.000
Sr1 0.250 0.250 0.250
Sr2 0.500 0.500 0.500
Cl1 0.750 0.750 0.750

(9)
Crystalline Ba3SrCl at its relaxed geometry, computed with GGA-PBE.

The energy above the most stable polymorph in this dataset is 89.7 kJ per mole of atoms. As for the magnetization: 0.922 μB/atom. As for the space group: Pm-3m, No. 221. For the volume, the calculation gives 75.13 A^3/atom. The density of states at the Fermi level is 7.50 states/eV/cell. The uncorrected formation energy comes out at 0.2603 eV per atom.

a b c (Å): 7.215 7.215 7.215
angles (deg): 90.00 90.00 90.00
Fractional positions:
Ba1 0.000 0.000 0.500
Ba2 0.000 0.500 0.000
Ba3 0.500 0.000 0.000
Sr1 0.000 0.000 0.000
Cl1 0.500 0.500 0.500

(10)
Crystalline BaSrCl2 at its relaxed geometry, computed with GGA-PBE.

The energy above the most stable polymorph in this dataset is 0.7 kJ per mole of atoms. As for the magnetization: 0.000 μB/atom. As for the space group: P4mm, No. 99. For the volume, the calculation gives 35.76 A^3/atom. The density of states at the Fermi level is 1.85 states/eV/cell. The uncorrected formation energy comes out at -1.7599 eV per atom.

a b c (Å): 4.223 4.223 8.022
angles (deg): 90.00 90.00 90.00
Fractional positions:
Ba1 0.000 0.000 0.000
Sr1 0.500 0.500 0.541
Cl1 0.000 0.000 0.419
Cl2 0.500 0.500 0.154

(11)
Crystalline Ba2SrCl at its relaxed geometry, computed with GGA-PBE.

The energy above the most stable polymorph in this dataset is 45.1 kJ per mole of atoms. As for the magnetization: 0.000 μB/atom. As for the space group: I4/mmm, No. 139. For the volume, the calculation gives 51.12 A^3/atom. The density of states at the Fermi level is 4.77 states/eV/cell. The uncorrected formation energy comes out at -0.3814 eV per atom.

a b c (Å): 7.942 7.942 7.942
angles (deg): 140.08 140.08 57.73
Fractional positions:
Ba1 0.250 0.750 0.500
Ba2 0.750 0.250 0.500
Sr1 0.000 0.000 0.000
Cl1 0.500 0.500 0.000

(12)
Crystalline BaSrCl2 at its relaxed geometry, computed with GGA-PBE.

The energy above the most stable polymorph in this dataset is 9.3 kJ per mole of atoms. As for the magnetization: 0.014 μB/atom. As for the space group: Imm2, No. 44. For the volume, the calculation gives 42.01 A^3/atom. The density of states at the Fermi level is 1.52 states/eV/cell. The uncorrected formation energy comes out at -1.6708 eV per atom.

a b c (Å): 10.699 10.699 10.699
angles (deg): 158.32 158.19 30.95
Fractional positions:
Ba1 0.000 0.000 0.000
Sr1 0.689 0.189 0.500
Cl1 0.248 0.748 0.500
Cl2 0.438 0.438 0.000

(13)
Crystalline BaSrTeCl2 at its relaxed geometry, computed with GGA-PBE.

As for the magnetization: 0.000 μB/atom. As for the space group: P4mm, No. 99. For the volume, the calculation gives 39.45 A^3/atom. The density of states at the Fermi level is 0.00 states/eV/cell. The uncorrected formation energy comes out at -2.0905 eV per atom.

a b c (Å): 5.045 5.045 7.751
angles (deg): 90.00 90.00 90.00
Fractional positions:
Ba1 0.000 0.000 0.000
Sr1 0.500 0.500 0.448
Te1 0.500 0.500 0.857
Cl1 0.000 0.500 0.281
Cl2 0.500 0.000 0.281

(14)
Crystalline BaSrTiCl2 at its relaxed geometry, computed with GGA-PBE.

As for the magnetization: 0.734 μB/atom. As for the space group: P4/mmm, No. 123. For the volume, the calculation gives 76.30 A^3/atom. The density of states at the Fermi level is 2.09 states/eV/cell. The uncorrected formation energy comes out at -0.4403 eV per atom.

a b c (Å): 5.452 5.452 12.837
angles (deg): 90.00 90.00 90.00
Fractional positions:
Ba1 0.000 0.000 0.000
Sr1 0.000 0.000 0.500
Ti1 0.500 0.500 0.000
Cl1 0.000 0.500 0.500
Cl2 0.500 0.000 0.500